NaAg3As after structural relaxation. Source: Alexandria, functional GGA-PBE.

The calculation puts the energy of formation at -2 meV/atom. The energy above the most stable polymorph in this dataset is 0 meV/atom.

abc: 8.4564 6.5351 9.2510
angles: 90.00 122.93 90.00
Last column: nearest neighbours and their distance in Å.
Space group P2_1/c (No. 14)
One atom of each set of equivalent atoms:
Na 0.1505 0.2501 0.0762 [4 per cell]  2 As 3.01, 5 Ag 3.02-3.21
Ag 0.1424 0.5470 0.3215 [4 per cell]  2 As 2.64-2.79, 3 Ag 2.83-2.88
Ag 0.2933 0.7480 0.6471 [4 per cell]  2 As 2.75-2.76, 4 Ag 2.87-2.91
Ag 0.4606 0.2129 0.9808 [4 per cell]  2 As 2.70-2.79, 5 Ag 2.83-3.02
As 0.2217 0.5347 0.8620 [4 per cell]  6 Ag 2.64-2.79



CsS3Cl after structural relaxation. Source: Alexandria, functional GGA-PBE.

As for the uncorrected formation energy: 1338.1 meV/atom. The energy above the most stable polymorph in this dataset is 1879 meV/atom.

abc: 5.8950 5.8950 5.8950
angles: 90.00 90.00 90.00
Last column: nearest neighbours and their distance in Å.
Space group Pm-3m (No. 221)
One atom of each set of equivalent atoms:
Cs 0.0000 0.0000 0.0000 [1 per cell]  6 S 2.95
S 0.0000 0.0000 0.5000 [3 per cell]  2 Cs 2.95
Cl 0.5000 0.5000 0.5000 [1 per cell]  12 S 4.17



TbTm5Cu4 after structural relaxation. Source: Alexandria, functional GGA-PBE.

The calculation puts the energy of formation at -221 meV/atom.

abc: 3.4201 3.4201 18.8794
angles: 90.00 90.00 90.00
Last column: nearest neighbours and their distance in Å.
Space group P4/mmm (No. 123)
One atom of each set of equivalent atoms:
Tb 0.0000 0.0000 0.0000 [1 per cell]  4 Tb 3.42, 8 Tm 3.54
Tm 0.5000 0.5000 0.1370 [2 per cell]  4 Cu 2.95
Tm 0.5000 0.5000 0.3172 [2 per cell]  8 Cu 2.97
Tm 0.5000 0.5000 0.5000 [1 per cell]  8 Cu 2.97
Cu 0.0000 0.0000 0.2262 [2 per cell]  8 Tm 2.95-2.97
Cu 0.0000 0.0000 0.4089 [2 per cell]  8 Tm 2.97



CaZn2Ni after structural relaxation. Source: Alexandria, functional GGA-PBE.

The calculation puts the energy of formation at -7 meV/atom.

abc: 4.6767 4.6767 16.5549
angles: 90.00 90.00 90.00
Last column: nearest neighbours and their distance in Å.
Space group I-42d (No. 122)
One atom of each set of equivalent atoms:
Ca 0.0000 0.0000 0.0000 [4 per cell]  4 Ni 3.31, 8 Zn 3.32-3.35
Zn 0.0055 0.2500 0.6250 [8 per cell]  2 Zn 2.34, 2 Ni 2.38
Ni 0.0000 0.0000 0.5000 [4 per cell]  4 Zn 2.38



NaBiSeBr2 after structural relaxation. Source: Alexandria, functional GGA-PBE.

As for the uncorrected formation energy: -606.1 meV/atom. The energy above the most stable polymorph in this dataset is 0 meV/atom.

abc: 5.8348 5.8348 5.5593
angles: 90.00 90.00 90.00
Last column: nearest neighbours and their distance in Å.
Space group P4/mmm (No. 123)
One atom of each set of equivalent atoms:
Na 0.0000 0.0000 0.0000 [1 per cell]  8 Br 4.03, 4 Se 4.13
Bi 0.5000 0.5000 0.5000 [1 per cell]  2 Se 2.78, 4 Br 2.92
Se 0.5000 0.5000 0.0000 [1 per cell]  2 Bi 2.78
Br 0.0000 0.5000 0.5000 [2 per cell]  2 Bi 2.92



YScIn after structural relaxation. Source: Alexandria, functional GGA-PBE.

The calculation puts the energy of formation at -202 meV/atom. The energy above the most stable polymorph in this dataset is 183 meV/atom.

abc: 3.3498 3.3498 28.5949
angles: 90.00 90.00 90.00
Last column: nearest neighbours and their distance in Å.
Space group I4/mmm (No. 139)
One atom of each set of equivalent atoms:
Y 0.0000 0.0000 0.0616 [4 per cell]  4 In 3.22, 5 Y 3.35-3.52
Sc 0.0000 0.0000 0.2110 [4 per cell]  4 In 3.16, 8 Sc 3.25-3.35
In 0.0000 0.0000 0.3620 [4 per cell]  4 Sc 3.16, 4 Y 3.22, 4 In 3.35